Entry w
Computed, not measured: an optimized crystal structure of Cr2Cu2W at the GGA-PBE level of DFT.

a = 7.0337 Å, b = 7.0337 Å, c = 2.6146 Å
α = 90.00°, β = 90.00°, γ = 90.00°
Space group P4/mbm (No. 127)
Inequivalent atoms, fractional coordinates:
Cr 0.1767 0.3233 0.0000
Cu 0.1209 0.6209 0.5000
W 0.0000 0.0000 0.5000

## Properties
density = 10.65 g/cm3
N(E_F) = 12.622 states/eV per cell
total magnetization = 3.79 μB per cell

=====

Entry x
Computed, not measured: an optimized crystal structure of Cr2Cu2W at the GGA-PBE level of DFT.

a = 3.3632 Å, b = 3.3632 Å, c = 11.5660 Å
α = 90.00°, β = 90.00°, γ = 90.00°
Space group I4/mmm (No. 139)
Inequivalent atoms, fractional coordinates:
Cr 0.0000 0.5000 0.2500
Cu 0.0000 0.0000 0.0976
W 0.0000 0.0000 0.5000

## Properties
density = 10.53 g/cm3
N(E_F) = 9.821 states/eV per cell
total magnetization = 0.00 μB per cell

=====

Stability order, top to bottom: entry w, entry x

=====

Entry w
Computed, not measured: an optimized crystal structure of CrCu2W2 at the GGA-PBE level of DFT.

a = 3.1065 Å, b = 3.1065 Å, c = 14.9317 Å
α = 90.00°, β = 90.00°, γ = 90.00°
Space group I4/mmm (No. 139)
Inequivalent atoms, fractional coordinates:
Cr 0.0000 0.0000 0.0000
Cu 0.0000 0.5000 0.2500
W 0.0000 0.0000 0.4020

## Properties
density = 12.60 g/cm3
N(E_F) = 11.965 states/eV per cell
total magnetization = 0.00 μB per cell

=====

Entry x
Computed, not measured: an optimized crystal structure of CrCu2W2 at the GGA-PBE level of DFT.

a = 7.4623 Å, b = 7.4623 Å, c = 2.6332 Å
α = 90.00°, β = 90.00°, γ = 90.00°
Space group P4/mbm (No. 127)
Inequivalent atoms, fractional coordinates:
Cr 0.0000 0.0000 0.0000
Cu 0.1712 0.3288 0.5000
W 0.1264 0.6264 0.0000

## Properties
density = 12.38 g/cm3
N(E_F) = 10.240 states/eV per cell
total magnetization = 0.00 μB per cell

=====

Stability order, top to bottom: entry w, entry x

=====

Entry w
Computed, not measured: an optimized crystal structure of YCr2Cu at the GGA-PBE level of DFT.

a = 3.4596 Å, b = 4.7578 Å, c = 9.1239 Å
α = 90.00°, β = 90.00°, γ = 90.00°
Space group Immm (No. 71)
Inequivalent atoms, fractional coordinates:
Y 0.0000 0.0000 0.0000
Cr 0.0000 0.5000 0.2196
Cu 0.0000 0.0000 0.5000

## Properties
density = 5.67 g/cm3
N(E_F) = 7.643 states/eV per cell
total magnetization = 15.73 μB per cell

=====

Entry x
Computed, not measured: an optimized crystal structure of YCr2Cu at the GGA-PBE level of DFT.

a = 9.1331 Å, b = 3.1260 Å, c = 5.0187 Å
α = 90.00°, β = 105.95°, γ = 90.00°
Space group C2/m (No. 12)
Inequivalent atoms, fractional coordinates:
Y 0.0000 0.0000 0.0000
Cr 0.2260 0.0000 0.6313
Cu 0.0000 0.5000 0.5000

## Properties
density = 6.18 g/cm3
N(E_F) = 7.535 states/eV per cell
total magnetization = 0.00 μB per cell

=====

Entry y
Computed, not measured: an optimized crystal structure of YCr2Cu at the GGA-PBE level of DFT.

a = 4.1367 Å, b = 4.1367 Å, c = 4.2694 Å
α = 90.00°, β = 90.00°, γ = 90.00°
Space group P4/mmm (No. 123)
Inequivalent atoms, fractional coordinates:
Y 0.0000 0.0000 0.0000
Cr 0.0000 0.5000 0.5000
Cu 0.5000 0.5000 0.0000

## Properties
density = 5.83 g/cm3
N(E_F) = 3.859 states/eV per cell
total magnetization = 7.52 μB per cell

=====

Entry z
Computed, not measured: an optimized crystal structure of YCr2Cu at the GGA-PBE level of DFT.

a = 6.5216 Å, b = 6.5216 Å, c = 6.5216 Å
α = 90.00°, β = 90.00°, γ = 90.00°
Space group F-43m (No. 216)
Inequivalent atoms, fractional coordinates:
Y 0.0000 0.0000 0.0000
Cr 0.0000 0.0000 0.5000
Cr 0.2500 0.2500 0.2500
Cu 0.2500 0.2500 0.7500

## Properties
density = 6.14 g/cm3
N(E_F) = 12.373 states/eV per cell
total magnetization = 3.05 μB per cell

=====

Stability order, top to bottom: entry z, entry x, entry y, entry w

=====

Entry w
Computed, not measured: an optimized crystal structure of YCr2Cu at the GGA-PBE level of DFT.

a = 2.7135 Å, b = 2.7135 Å, c = 8.3304 Å
α = 90.00°, β = 90.00°, γ = 90.00°
Space group P4/mmm (No. 123)
Inequivalent atoms, fractional coordinates:
Y 0.0000 0.0000 0.0000
Cr 0.5000 0.5000 0.2904
Cu 0.0000 0.0000 0.5000

## Properties
density = 6.94 g/cm3
N(E_F) = 3.870 states/eV per cell
total magnetization = 0.00 μB per cell

=====

Entry x
Computed, not measured: an optimized crystal structure of YCr2Cu at the GGA-PBE level of DFT.

a = 3.1594 Å, b = 3.1594 Å, c = 26.2288 Å
α = 90.00°, β = 90.00°, γ = 120.00°
Space group R-3m (No. 166, hexagonal axes)
Inequivalent atoms, fractional coordinates:
Y 0.0000 0.0000 0.0000
Cr 0.0000 0.0000 0.2390
Cu 0.0000 0.0000 0.5000

## Properties
density = 5.63 g/cm3
N(E_F) = 10.414 states/eV per cell
total magnetization = 20.87 μB per cell

=====

Entry y
Computed, not measured: an optimized crystal structure of YCr2Cu at the GGA-PBE level of DFT.

a = 6.5984 Å, b = 6.5984 Å, c = 6.5984 Å
α = 90.00°, β = 90.00°, γ = 90.00°
Space group Fm-3m (No. 225)
Inequivalent atoms, fractional coordinates:
Y 0.0000 0.0000 0.0000
Cr 0.2500 0.2500 0.2500
Cu 0.0000 0.0000 0.5000

## Properties
density = 5.93 g/cm3
N(E_F) = 15.019 states/eV per cell
total magnetization = 31.68 μB per cell

=====

Stability order, top to bottom: entry y, entry w, entry x